(1)
# AcPmMgPd, optimized geometry, DFT GGA-PBE
# - Size of the total moment: 0.00 μB/f.u.
# - Energy of formation: -1.17 eV/f.u.
data_AcPmMgPd
_chemical_formula_sum 'Ac4 Pm4 Mg4 Pd4'
_symmetry_space_group_name_H-M 'F -4 3 m'
_symmetry_Int_Tables_number 216
_symmetry_space_group_name_Hall 'F -4 2 3'
_cell_length_a 7.689
_cell_length_b 7.689
_cell_length_c 7.689
_cell_angle_alpha 90.00
_cell_angle_beta 90.00
_cell_angle_gamma 90.00
loop_
_atom_site_label
_atom_site_type_symbol
_atom_site_fract_x
_atom_site_fract_y
_atom_site_fract_z
Ac1 Ac 0.000 0.000 0.000
Pm1 Pm 0.000 0.000 0.500
Mg1 Mg 0.250 0.250 0.750
Pd1 Pd 0.250 0.250 0.250

---

(2)
# Mg2TlIn, optimized geometry, DFT GGA-PBE
# - Size of the total moment: 0.00 μB/f.u.
# - Energy of formation: -0.18 eV/f.u.
data_Mg2TlIn
_chemical_formula_sum 'Mg4 Tl2 In2'
_symmetry_space_group_name_H-M 'C 1 m 1'
_symmetry_Int_Tables_number 8
_symmetry_space_group_name_Hall 'C -2y'
_cell_length_a 11.153
_cell_length_b 3.485
_cell_length_c 5.129
_cell_angle_alpha 90.00
_cell_angle_beta 99.77
_cell_angle_gamma 90.00
loop_
_atom_site_label
_atom_site_type_symbol
_atom_site_fract_x
_atom_site_fract_y
_atom_site_fract_z
Mg1 Mg 0.000 0.000 0.000
Mg2 Mg 0.250 0.000 0.703
Tl1 Tl 0.250 0.500 0.202
In1 In 0.004 0.500 0.507

---

(3)
# RbPuO3, optimized geometry, DFT GGA-PBE
# - Uncorrected formation energy: -2.544 eV per atom
# - Size of the total moment: 3.00 μB/f.u.
data_RbPuO3
_chemical_formula_sum 'Rb2 Pu2 O6'
_symmetry_space_group_name_H-M 'P 4/m b m'
_symmetry_Int_Tables_number 127
_symmetry_space_group_name_Hall '-P 4 2ab'
_cell_length_a 6.123
_cell_length_b 6.123
_cell_length_c 4.321
_cell_angle_alpha 90.00
_cell_angle_beta 90.00
_cell_angle_gamma 90.00
loop_
_atom_site_label
_atom_site_type_symbol
_atom_site_fract_x
_atom_site_fract_y
_atom_site_fract_z
Rb1 Rb 0.000 0.000 0.000
Pu1 Pu 0.000 0.500 0.500
O1 O 0.000 0.500 0.000
O2 O 0.239 0.261 0.500

---

(4)
# RbNpRhS3, optimized geometry, DFT GGA-PBE
# - Uncorrected formation energy: -1.082 eV per atom
# - Size of the total moment: 3.17 μB/f.u.
data_RbNpRhS3
_chemical_formula_sum 'Rb2 Np2 Rh2 S6'
_symmetry_space_group_name_H-M 'P 1 21/m 1'
_symmetry_Int_Tables_number 11
_symmetry_space_group_name_Hall '-P 2yb'
_cell_length_a 8.926
_cell_length_b 3.998
_cell_length_c 9.405
_cell_angle_alpha 90.00
_cell_angle_beta 109.21
_cell_angle_gamma 90.00
loop_
_atom_site_label
_atom_site_type_symbol
_atom_site_fract_x
_atom_site_fract_y
_atom_site_fract_z
Rb1 Rb 0.204 0.250 0.244
Np1 Np 0.323 0.750 0.845
Rh1 Rh 0.084 0.250 0.593
S1 S 0.132 0.250 0.861
S2 S 0.197 0.750 0.547
S3 S 0.465 0.750 0.151

---

(5)
# Na2TePb, optimized geometry, DFT GGA-PBE
# - Uncorrected formation energy: -0.315 eV per atom
# - Size of the total moment: 0.00 μB/f.u.
data_Na2TePb
_chemical_formula_sum 'Na8 Te4 Pb4'
_symmetry_space_group_name_H-M 'F m -3 m'
_symmetry_Int_Tables_number 225
_symmetry_space_group_name_Hall '-F 4 2 3'
_cell_length_a 7.706
_cell_length_b 7.706
_cell_length_c 7.706
_cell_angle_alpha 90.00
_cell_angle_beta 90.00
_cell_angle_gamma 90.00
loop_
_atom_site_label
_atom_site_type_symbol
_atom_site_fract_x
_atom_site_fract_y
_atom_site_fract_z
Na1 Na 0.250 0.250 0.250
Te1 Te 0.000 0.000 0.000
Pb1 Pb 0.000 0.000 0.500

---

(6)
# AlTl2Pb, optimized geometry, DFT GGA-PBE
# - Size of the total moment: 0.00 μB/f.u.
# - Energy of formation: 0.50 eV/f.u.
data_AlTl2Pb
_chemical_formula_sum 'Al1 Tl2 Pb1'
_symmetry_space_group_name_H-M 'P 4 m m'
_symmetry_Int_Tables_number 99
_symmetry_space_group_name_Hall 'P 4 -2'
_cell_length_a 3.605
_cell_length_b 3.605
_cell_length_c 8.639
_cell_angle_alpha 90.00
_cell_angle_beta 90.00
_cell_angle_gamma 90.00
loop_
_atom_site_label
_atom_site_type_symbol
_atom_site_fract_x
_atom_site_fract_y
_atom_site_fract_z
Al1 Al 0.000 0.000 0.000
Tl1 Tl 0.000 0.000 0.500
Tl2 Tl 0.500 0.500 0.784
Pb1 Pb 0.500 0.500 0.216

---

(7)
# CuSiPbAu6, optimized geometry, DFT GGA-PBE
# - Uncorrected formation energy: 0.069 eV per atom
# - Size of the total moment: 0.00 μB/f.u.
data_CuSiPbAu6
_chemical_formula_sum 'Cu4 Si4 Pb4 Au24'
_symmetry_space_group_name_H-M 'I m m a'
_symmetry_Int_Tables_number 74
_symmetry_space_group_name_Hall '-I 2b 2'
_cell_length_a 7.065
_cell_length_b 8.828
_cell_length_c 11.503
_cell_angle_alpha 90.00
_cell_angle_beta 90.00
_cell_angle_gamma 90.00
loop_
_atom_site_label
_atom_site_type_symbol
_atom_site_fract_x
_atom_site_fract_y
_atom_site_fract_z
Cu1 Cu 0.250 0.250 0.250
Si1 Si 0.000 0.000 0.000
Pb1 Pb 0.000 0.250 0.787
Au1 Au 0.000 0.250 0.086
Au2 Au 0.000 0.250 0.502
Au3 Au 0.201 0.002 0.374

---

(8)
# Rb2FeGeSe4, optimized geometry, DFT GGA-PBE
# - Uncorrected formation energy: -0.684 eV per atom
# - Size of the total moment: 4.01 μB/f.u.
data_Rb2FeGeSe4
_chemical_formula_sum 'Rb16 Fe8 Ge8 Se32'
_symmetry_space_group_name_H-M 'F d d d'
_symmetry_Int_Tables_number 70
_cell_length_a 6.444
_cell_length_b 13.848
_cell_length_c 24.465
_cell_angle_alpha 90.00
_cell_angle_beta 90.00
_cell_angle_gamma 90.00
loop_
_symmetry_equiv_pos_as_xyz
'x,y,z'
'-x,-y,-z'
'-x+1/4,-y+1/4,z'
'x+1/4,y+1/4,-z'
'x,-y+1/4,-z+1/4'
'-x,y+1/4,z+1/4'
'-x+1/4,y,-z+1/4'
'x+1/4,-y,z+1/4'
'x,y+1/2,z+1/2'
'-x,-y+1/2,-z+1/2'
'-x+1/4,-y+3/4,z+1/2'
'x+1/4,y+3/4,-z+1/2'
'x,-y+3/4,-z+3/4'
'-x,y+3/4,z+3/4'
'-x+1/4,y+1/2,-z+3/4'
'x+1/4,-y+1/2,z+3/4'
'x+1/2,y,z+1/2'
'-x+1/2,-y,-z+1/2'
'-x+3/4,-y+1/4,z+1/2'
'x+3/4,y+1/4,-z+1/2'
'x+1/2,-y+1/4,-z+3/4'
'-x+1/2,y+1/4,z+3/4'
'-x+3/4,y,-z+3/4'
'x+3/4,-y,z+3/4'
'x+1/2,y+1/2,z'
'-x+1/2,-y+1/2,-z'
'-x+3/4,-y+3/4,z'
'x+3/4,y+3/4,-z'
'x+1/2,-y+3/4,-z+1/4'
'-x+1/2,y+3/4,z+1/4'
'-x+3/4,y+1/2,-z+1/4'
'x+3/4,-y+1/2,z+1/4'
loop_
_atom_site_label
_atom_site_type_symbol
_atom_site_fract_x
_atom_site_fract_y
_atom_site_fract_z
Rb1 Rb 0.125 0.125 0.305
Fe1 Fe 0.125 0.125 0.125
Ge1 Ge 0.125 0.125 0.625
Se1 Se 0.124 0.281 0.427

---

(9)
# K2ZrCr, optimized geometry, DFT GGA-PBE
# - Size of the total moment: 4.67 μB/f.u.
# - Energy of formation: 4.73 eV/f.u.
data_K2ZrCr
_chemical_formula_sum 'K4 Zr2 Cr2'
_symmetry_space_group_name_H-M 'C m m m'
_symmetry_Int_Tables_number 65
_symmetry_space_group_name_Hall '-C 2 2'
_cell_length_a 6.388
_cell_length_b 12.709
_cell_length_c 3.095
_cell_angle_alpha 90.00
_cell_angle_beta 90.00
_cell_angle_gamma 90.00
loop_
_atom_site_label
_atom_site_type_symbol
_atom_site_fract_x
_atom_site_fract_y
_atom_site_fract_z
K1 K 0.250 0.250 0.000
Zr1 Zr 0.000 0.000 0.500
Cr1 Cr 0.000 0.500 0.500

---

(10)
# Sr2AsF, optimized geometry, DFT GGA-PBE
# - Uncorrected formation energy: -1.993 eV per atom
# - Size of the total moment: 0.00 μB/f.u.
data_Sr2AsF
_chemical_formula_sum 'Sr6 As3 F3'
_symmetry_space_group_name_H-M 'R -3 m'
_symmetry_Int_Tables_number 166
_symmetry_space_group_name_Hall '-R 3 2"'
_cell_length_a 4.4129
_cell_length_b 4.4129
_cell_length_c 19.0577
_cell_angle_alpha 90.00
_cell_angle_beta 90.00
_cell_angle_gamma 120.00
loop_
_atom_site_label
_atom_site_type_symbol
_atom_site_fract_x
_atom_site_fract_y
_atom_site_fract_z
Sr1 Sr 0.0000 0.0000 0.2477
As1 As 0.0000 0.0000 0.0000
F1 F 0.0000 0.0000 0.5000

---

(11)
# Sm6SiSe3S2, optimized geometry, DFT GGA-PBE
# - Uncorrected formation energy: -1.748 eV per atom
# - Size of the total moment: 0.00 μB/f.u.
data_Sm6SiSe3S2
_chemical_formula_sum 'Sm12 Si2 Se6 S4'
_symmetry_space_group_name_H-M 'C 1 2/m 1'
_symmetry_Int_Tables_number 12
_symmetry_space_group_name_Hall '-C 2y'
_cell_length_a 18.123
_cell_length_b 4.111
_cell_length_c 8.312
_cell_angle_alpha 90.00
_cell_angle_beta 104.38
_cell_angle_gamma 90.00
loop_
_atom_site_label
_atom_site_type_symbol
_atom_site_fract_x
_atom_site_fract_y
_atom_site_fract_z
Sm1 Sm 0.004 0.000 0.241
Sm2 Sm 0.162 0.500 0.092
Sm3 Sm 0.170 0.500 0.571
Si1 Si 0.000 0.500 0.000
Se1 Se 0.000 0.500 0.500
Se2 Se 0.167 0.000 0.831
S1 S 0.168 0.000 0.334

---

(12)
# PuScRh4, optimized geometry, DFT GGA-PBE
# - Size of the total moment: 3.90 μB/f.u.
# - Energy of formation: -2.51 eV/f.u.
data_PuScRh4
_chemical_formula_sum 'Pu4 Sc4 Rh16'
_symmetry_space_group_name_H-M 'P n m a'
_symmetry_Int_Tables_number 62
_symmetry_space_group_name_Hall '-P 2ac 2n'
_cell_length_a 6.468
_cell_length_b 3.978
_cell_length_c 16.038
_cell_angle_alpha 90.00
_cell_angle_beta 90.00
_cell_angle_gamma 90.00
loop_
_atom_site_label
_atom_site_type_symbol
_atom_site_fract_x
_atom_site_fract_y
_atom_site_fract_z
Pu1 Pu 0.198 0.250 0.216
Sc1 Sc 0.185 0.750 0.476
Rh1 Rh 0.043 0.750 0.937
Rh2 Rh 0.055 0.250 0.374
Rh3 Rh 0.143 0.250 0.819
Rh4 Rh 0.247 0.750 0.095

---

(13)
# KGaPt, optimized geometry, DFT GGA-PBE
# - Size of the total moment: 0.00 μB/f.u.
# - Energy of formation: -1.27 eV/f.u.
data_KGaPt
_chemical_formula_sum 'K4 Ga4 Pt4'
_symmetry_space_group_name_H-M 'C m m e'
_symmetry_Int_Tables_number 67
_symmetry_space_group_name_Hall '-C 2a 2'
_cell_length_a 5.790
_cell_length_b 7.583
_cell_length_c 7.852
_cell_angle_alpha 90.00
_cell_angle_beta 90.00
_cell_angle_gamma 90.00
loop_
_atom_site_label
_atom_site_type_symbol
_atom_site_fract_x
_atom_site_fract_y
_atom_site_fract_z
K1 K 0.000 0.250 0.174
Ga1 Ga 0.000 0.250 0.609
Pt1 Pt 0.250 0.000 0.500

---

(14)
# MgAg2, optimized geometry, DFT GGA-PBE
# - Size of the total moment: 0.00 μB/f.u.
# - Energy of formation: -0.51 eV/f.u.
data_MgAg2
_chemical_formula_sum 'Mg4 Ag8'
_symmetry_space_group_name_H-M 'P n m a'
_symmetry_Int_Tables_number 62
_symmetry_space_group_name_Hall '-P 2ac 2n'
_cell_length_a 5.798
_cell_length_b 4.240
_cell_length_c 8.870
_cell_angle_alpha 90.00
_cell_angle_beta 90.00
_cell_angle_gamma 90.00
loop_
_atom_site_label
_atom_site_type_symbol
_atom_site_fract_x
_atom_site_fract_y
_atom_site_fract_z
Mg1 Mg 0.148 0.250 0.094
Ag1 Ag 0.102 0.250 0.756
Ag2 Ag 0.143 0.250 0.423

---

(15)
# ScGe, optimized geometry, DFT GGA-PBE
# - Size of the total moment: 1.03 μB/f.u.
# - Energy of formation: 0.50 eV/f.u.
data_ScGe
_chemical_formula_sum 'Sc4 Ge4'
_symmetry_space_group_name_H-M 'F -4 3 m'
_symmetry_Int_Tables_number 216
_symmetry_space_group_name_Hall 'F -4 2 3'
_cell_length_a 6.218
_cell_length_b 6.218
_cell_length_c 6.218
_cell_angle_alpha 90.00
_cell_angle_beta 90.00
_cell_angle_gamma 90.00
loop_
_atom_site_label
_atom_site_type_symbol
_atom_site_fract_x
_atom_site_fract_y
_atom_site_fract_z
Sc1 Sc 0.000 0.000 0.000
Ge1 Ge 0.250 0.250 0.250

---

(16)
# HoZnAu, optimized geometry, DFT GGA-PBE
# - Size of the total moment: 0.00 μB/f.u.
# - Energy of formation: -1.96 eV/f.u.
data_HoZnAu
_chemical_formula_sum 'Ho1 Zn1 Au1'
_symmetry_space_group_name_H-M 'P -6 m 2'
_symmetry_Int_Tables_number 187
_symmetry_space_group_name_Hall 'P -6 2'
_cell_length_a 4.5285
_cell_length_b 4.5285
_cell_length_c 3.5203
_cell_angle_alpha 90.00
_cell_angle_beta 90.00
_cell_angle_gamma 120.00
loop_
_atom_site_label
_atom_site_type_symbol
_atom_site_fract_x
_atom_site_fract_y
_atom_site_fract_z
Ho1 Ho 0.0000 0.0000 0.0000
Zn1 Zn 0.3333 0.6667 0.5000
Au1 Au 0.6667 0.3333 0.5000

---

(17)
# K2CaSnTe4, optimized geometry, DFT GGA-PBE
# - Uncorrected formation energy: -0.905 eV per atom
# - Size of the total moment: 0.00 μB/f.u.
data_K2CaSnTe4
_chemical_formula_sum 'K4 Ca2 Sn2 Te8'
_symmetry_space_group_name_H-M 'I -4 2 m'
_symmetry_Int_Tables_number 121
_symmetry_space_group_name_Hall 'I -4 2'
_cell_length_a 8.718
_cell_length_b 8.718
_cell_length_c 7.786
_cell_angle_alpha 90.00
_cell_angle_beta 90.00
_cell_angle_gamma 90.00
loop_
_atom_site_label
_atom_site_type_symbol
_atom_site_fract_x
_atom_site_fract_y
_atom_site_fract_z
K1 K 0.000 0.500 0.000
Ca1 Ca 0.000 0.000 0.000
Sn1 Sn 0.000 0.000 0.500
Te1 Te 0.181 0.181 0.281

---

(18)
# Cs2CaCdBr6, optimized geometry, DFT GGA-PBE
# - Uncorrected formation energy: -1.599 eV per atom
# - Size of the total moment: 0.00 μB/f.u.
data_Cs2CaCdBr6
_chemical_formula_sum 'Cs8 Ca4 Cd4 Br24'
_symmetry_space_group_name_H-M 'F m -3 m'
_symmetry_Int_Tables_number 225
_symmetry_space_group_name_Hall '-F 4 2 3'
_cell_length_a 11.379
_cell_length_b 11.379
_cell_length_c 11.379
_cell_angle_alpha 90.00
_cell_angle_beta 90.00
_cell_angle_gamma 90.00
loop_
_atom_site_label
_atom_site_type_symbol
_atom_site_fract_x
_atom_site_fract_y
_atom_site_fract_z
Cs1 Cs 0.250 0.250 0.250
Ca1 Ca 0.000 0.000 0.000
Cd1 Cd 0.000 0.000 0.500
Br1 Br 0.000 0.000 0.254

---

(19)
# Y4Mg3Os, optimized geometry, DFT GGA-PBE
# - Size of the total moment: 0.28 μB/f.u.
# - Energy of formation: -1.09 eV/f.u.
data_Y4Mg3Os
_chemical_formula_sum 'Y4 Mg3 Os1'
_symmetry_space_group_name_H-M 'P 4/m m m'
_symmetry_Int_Tables_number 123
_symmetry_space_group_name_Hall '-P 4 2'
_cell_length_a 3.536
_cell_length_b 3.536
_cell_length_c 16.397
_cell_angle_alpha 90.00
_cell_angle_beta 90.00
_cell_angle_gamma 90.00
loop_
_atom_site_label
_atom_site_type_symbol
_atom_site_fract_x
_atom_site_fract_y
_atom_site_fract_z
Y1 Y 0.000 0.000 0.099
Y2 Y 0.000 0.000 0.369
Mg1 Mg 0.500 0.500 0.239
Mg2 Mg 0.500 0.500 0.500
Os1 Os 0.500 0.500 0.000

---

(20)
# AcI3, optimized geometry, DFT GGA-PBE
# - Uncorrected formation energy: -1.151 eV per atom
# - Size of the total moment: 0.00 μB/f.u.
data_AcI3
_chemical_formula_sum 'Ac1 I3'
_symmetry_space_group_name_H-M 'P -4 m 2'
_symmetry_Int_Tables_number 115
_symmetry_space_group_name_Hall 'P -4 -2'
_cell_length_a 4.842
_cell_length_b 4.842
_cell_length_c 8.419
_cell_angle_alpha 90.00
_cell_angle_beta 90.00
_cell_angle_gamma 90.00
loop_
_atom_site_label
_atom_site_type_symbol
_atom_site_fract_x
_atom_site_fract_y
_atom_site_fract_z
Ac1 Ac 0.000 0.000 0.000
I1 I 0.000 0.500 0.304
I2 I 0.500 0.500 0.000